(1)
The following is a DFT calculation (PBE) of Ti6InSb after structural relaxation.

Calculated values
raw formation energy = -0.2512 eV per atom
crystal system = orthorhombic

Cell: 4.761 5.967 10.083 Å, 90.00 90.00 90.00°
Space group Amm2 (No. 38)
Symmetry-distinct sites (fractional):
1 Ti 0.000 0.000 0.000 [2 per cell]
2 Ti 0.000 0.247 0.241 [4 per cell]
3 Ti 0.500 0.000 0.313 [2 per cell]
4 Ti 0.500 0.250 0.068 [4 per cell]
5 In 0.500 0.000 0.821 [2 per cell]
6 Sb 0.000 0.000 0.490 [2 per cell]

***

(2)
The following is a DFT calculation (PBE) of Ti12In3Sb after structural relaxation.

Calculated values
raw formation energy = -0.1830 eV per atom
crystal system = orthorhombic

Cell: 5.233 5.234 10.488 Å, 90.00 90.00 90.00°
Space group Pmmm (No. 47)
Symmetry-distinct sites (fractional):
1 Ti 0.000 0.000 0.123 [2 per cell]
2 Ti 0.000 0.000 0.373 [2 per cell]
3 Ti 0.250 0.500 0.252 [4 per cell]
4 Ti 0.500 0.249 0.000 [2 per cell]
5 Ti 0.500 0.249 0.500 [2 per cell]
6 In 0.000 0.500 0.000 [1 per cell]
7 In 0.500 0.000 0.250 [2 per cell]
8 Sb 0.000 0.500 0.500 [1 per cell]

***

(3)
The following is a DFT calculation (PBE) of Ti7In2Sb2 after structural relaxation.

Calculated values
raw formation energy = 0.1475 eV per atom
crystal system = monoclinic

Cell: 9.822 7.693 6.340 Å, 90.00 90.07 90.00°
Space group C2/m (No. 12)
Symmetry-distinct sites (fractional):
1 Ti 0.000 0.000 0.000 [2 per cell]
2 Ti 0.000 0.500 0.279 [4 per cell]
3 Ti 0.250 0.250 0.293 [8 per cell]
4 In 0.000 0.178 0.500 [4 per cell]
5 Sb 0.215 0.500 0.000 [4 per cell]

***

(4)
The following is a DFT calculation (PBE) of Ti4InSb2 after structural relaxation.

Calculated values
raw formation energy = -0.1389 eV per atom
crystal system = orthorhombic

Cell: 8.191 8.566 8.576 Å, 90.00 90.00 90.00°
Space group I2_12_12_1 (No. 24)
Symmetry-distinct sites (fractional):
1 Ti 0.071 0.087 0.439 [8 per cell]
2 Ti 0.179 0.311 0.663 [8 per cell]
3 In 0.125 0.000 0.750 [4 per cell]
4 Sb 0.000 0.250 0.175 [4 per cell]
5 Sb 0.250 0.425 0.000 [4 per cell]